(1)
# AcPdRh2, optimized geometry, DFT PBE
data_AcPdRh2
_chemical_formula_sum 'Ac3 Pd3 Rh6'
_symmetry_space_group_name_H-M 'R -3 m'
_symmetry_Int_Tables_number 166
_symmetry_space_group_name_Hall '-R 3 2"'
_cell_length_a 4.5529
_cell_length_b 4.5529
_cell_length_c 14.6570
_cell_angle_alpha 90.00
_cell_angle_beta 90.00
_cell_angle_gamma 120.00
loop_
_atom_site_label
_atom_site_type_symbol
_atom_site_fract_x
_atom_site_fract_y
_atom_site_fract_z
Ac1 Ac 0.0000 0.0000 0.0000
Pd1 Pd 0.0000 0.0000 0.5000
Rh1 Rh 0.0000 0.0000 0.1938
# Uncorrected energy: -6.4057 eV/atom
# DOS at the Fermi energy: 13.0 states/eV/cell
# M_tot: 0.000 μB/atom
# Formation energy: -0.40 eV/atom
# Excess energy over the best structure of this formula in the dataset: 0.000 eV/atom

***

(2)
# NaSr5Pb3, optimized geometry, DFT PBE
data_NaSr5Pb3
_chemical_formula_sum 'Na2 Sr10 Pb6'
_symmetry_space_group_name_H-M 'P 63/m c m'
_symmetry_Int_Tables_number 193
_symmetry_space_group_name_Hall '-P 6c 2'
_cell_length_a 10.1080
_cell_length_b 10.1080
_cell_length_c 7.5158
_cell_angle_alpha 90.00
_cell_angle_beta 90.00
_cell_angle_gamma 120.00
loop_
_atom_site_label
_atom_site_type_symbol
_atom_site_fract_x
_atom_site_fract_y
_atom_site_fract_z
Na1 Na 0.0000 0.0000 0.0000
Sr1 Sr 0.0000 0.3104 0.2500
Sr2 Sr 0.3333 0.6667 0.0000
Pb1 Pb 0.0000 0.3531 0.7500
# Uncorrected energy: -2.7756 eV/atom
# DOS at the Fermi energy: 18.7 states/eV/cell
# M_tot: 0.000 μB/atom
# Formation energy: -0.46 eV/atom

***

(3)
# CsZnP2Se, optimized geometry, DFT PBE
data_CsZnP2Se
_chemical_formula_sum 'Cs1 Zn1 P2 Se1'
_symmetry_space_group_name_H-M 'P 1'
_symmetry_Int_Tables_number 1
_cell_length_a 4.301
_cell_length_b 5.925
_cell_length_c 6.820
_cell_angle_alpha 90.46
_cell_angle_beta 108.16
_cell_angle_gamma 90.28
loop_
_symmetry_equiv_pos_as_xyz
'x,y,z'
loop_
_atom_site_label
_atom_site_type_symbol
_atom_site_fract_x
_atom_site_fract_y
_atom_site_fract_z
Cs1 Cs 0.000 0.000 0.000
Zn1 Zn 0.265 0.341 0.531
P1 P 0.306 0.731 0.610
P2 P 0.727 0.201 0.455
Se1 Se 0.717 0.808 0.446
# Uncorrected energy: -3.4707 eV/atom
# DOS at the Fermi energy: 1.6 states/eV/cell
# M_tot: 0.000 μB/atom
# E_form (uncorrected): -0.1843 eV per atom
# Excess energy over the best structure of this formula in the dataset: 0.205 eV/atom